Entry 1:
## RbPmSiO4 (PBE-GGA)

Data for an optimized crystal structure of RbPmSiO4.

Structure (POSCAR):
```
RbPmSiO4
1.0
5.762 0.000 0.040
0.000 5.743 0.000
-2.208 0.000 7.365
Pm O Si Rb
2 8 2 2
Cartesian
0.074 1.436 4.031
3.480 4.308 3.374
-0.396 3.016 2.343
1.598 1.436 5.871
2.357 1.436 3.344
1.197 4.308 4.061
3.950 0.144 5.063
-0.396 5.599 2.343
1.956 4.308 1.535
3.950 2.727 5.063
0.637 4.308 2.502
2.917 1.436 4.904
1.598 1.436 0.546
1.956 4.308 6.860
```

The total energy comes out at -50.94 eV/f.u. As for the uncorrected formation energy: -275.2 kJ per mole of atoms. The symmetry is P2_1/m (11).

Entry 2:
## Rb2PmSi2O6 (PBE-GGA)

Data for an optimized crystal structure of Rb2PmSi2O6.

Structure (POSCAR):
```
Rb2PmSi2O6
1.0
-1.908 2.894 4.925
-5.765 -0.415 1.693
-1.217 -4.031 5.580
O Si Rb Pm
6 2 2 1
Cartesian
-5.102 -0.413 3.949
-5.548 -2.651 6.773
-3.787 -1.140 8.248
-2.916 -2.461 6.000
-5.974 0.909 6.197
-3.342 1.098 5.425
-4.156 -1.823 6.826
-4.734 0.271 5.372
-2.090 -0.867 3.382
-6.799 -0.686 8.816
0.000 0.000 0.000
```

The total energy comes out at -74.95 eV/f.u. As for the uncorrected formation energy: -242.7 kJ per mole of atoms. The symmetry is R-3m (166).

Entry 3:
## Rb3Pm3SiO8 (PBE-GGA)

Data for an optimized crystal structure of Rb3Pm3SiO8.

Structure (POSCAR):
```
Rb3Pm3SiO8
1.0
-4.266 -0.936 -5.310
-2.225 -1.040 6.423
1.040 7.351 -2.132
Pm O Si Rb
3 8 1 3
Cartesian
-0.593 3.156 2.146
-1.613 3.207 -3.721
-2.726 2.687 -0.510
-2.274 3.636 3.817
-4.796 3.082 0.678
-3.402 3.847 -2.397
-3.178 1.739 -4.836
-0.959 4.250 0.021
-4.493 1.125 -1.040
-2.050 1.528 1.378
-0.656 2.292 -1.697
0.520 3.676 -1.066
-3.246 -0.988 0.556
0.000 0.000 0.000
-1.113 -0.520 3.212
```

The total energy comes out at -99.17 eV/f.u. As for the uncorrected formation energy: -237.5 kJ per mole of atoms. The symmetry is R-3m (166).